Record 1
First-principles (PBE) data for an optimized crystal structure of Te2As2Se, as listed in Alexandria via LeMat-Bulk.

Unit cell a=5.5193 b=5.5193 c=5.9633 alpha=62.43 beta=62.43 gamma=90.00
Closest atoms and distances in Å follow each position.
Fractional coordinates of all 5 atoms:
As: 0.7500 0.2500 0.5000  4 Te 2.84
Te: 0.3252 0.3252 0.3496  4 As 2.84, 1 Se 2.93, 1 Te 3.15
Te: 0.6748 0.6748 0.6504  4 As 2.84, 1 Se 2.93, 1 Te 3.15
Se: 0.0000 0.0000 0.0000  2 Te 2.93
As: 0.2500 0.7500 0.5000  4 Te 2.84

VASP energy (Ry/atom): -0.25508
Formation energy (no corrections) (eV per atom): 0.3429
Mass density (Mg/m³): 5.85
Fermi-level density of states (states/eV/cell): 3.56

---

Record 2
First-principles (PBE) data for an optimized crystal structure of Te2AsSe, as listed in Alexandria via LeMat-Bulk.

Unit cell a=7.5364 b=7.5364 c=6.8248 alpha=56.49 beta=56.49 gamma=90.00
Closest atoms and distances in Å follow each position.
Fractional coordinates of all 8 atoms:
Se: 0.7500 0.2500 0.5000  4 Te 2.93
As: 0.5000 0.5000 0.0000  4 Te 2.81
Te: 0.3750 0.3869 0.7500  2 As 2.81, 2 Se 2.93
Se: 0.0000 0.0000 0.0000  4 Te 2.93
Te: 0.1369 0.6250 0.2500  2 As 2.81, 2 Se 2.93
Te: 0.6131 0.1250 0.2500  2 As 2.81, 2 Se 2.93
As: 0.2500 0.7500 0.5000  4 Te 2.81
Te: 0.8750 0.8631 0.7500  2 As 2.81, 2 Se 2.93

VASP energy (Ry/atom): -0.24906
Energy above the most stable polymorph in this dataset (kcal/mol of atoms): 3.74
Formation energy (no corrections) (eV per atom): 0.2157
Mass density (Mg/m³): 5.61
Fermi-level density of states (states/eV/cell): 6.29

---

Record 3
First-principles (PBE) data for an optimized crystal structure of TeAsSe4, as listed in Alexandria via LeMat-Bulk.

Unit cell a=3.7744 b=8.8543 c=6.5752 alpha=129.37 beta=90.00 gamma=102.31
Closest atoms and distances in Å follow each position.
Fractional coordinates of all 6 atoms:
Te: 0.5000 0.0000 0.5000  6 Se 2.79-2.80
Se: 0.1275 0.2550 0.8993  1 As 2.68, 2 Te 2.79
Se: 0.8725 0.7450 0.1007  1 As 2.68, 2 Te 2.79
As: 0.0000 0.0000 0.0000  6 Se 2.68-2.69
Se: 0.3763 0.7526 0.6351  2 As 2.69, 1 Te 2.80
Se: 0.6237 0.2474 0.3649  2 As 2.69, 1 Te 2.80

VASP energy (Ry/atom): -0.26611
Energy above the most stable polymorph in this dataset (kcal/mol of atoms): 0.00
Formation energy (no corrections) (eV per atom): 0.0009
Mass density (Mg/m³): 5.27
Fermi-level density of states (states/eV/cell): 2.78

---

Record 4
First-principles (PBE) data for an optimized crystal structure of TeAsSe2, as listed in Alexandria via LeMat-Bulk.

Unit cell a=7.0755 b=7.0754 c=5.7879 alpha=144.14 beta=144.14 gamma=48.96
Closest atoms and distances in Å follow each position.
Fractional coordinates of all 4 atoms:
As: 0.8757 0.1243 0.5000  6 Se 2.89-2.94
Se: 0.8757 0.1243 0.0000  2 As 2.89, 4 Te 2.93
Se: 0.3734 0.6266 0.5000  2 Te 2.89, 4 As 2.92-2.94
Te: 0.3752 0.6248 0.0000  6 Se 2.89-2.93

VASP energy (Ry/atom): -0.26096
Energy above the most stable polymorph in this dataset (kcal/mol of atoms): 4.35
Formation energy (no corrections) (eV per atom): 0.1396
Mass density (Mg/m³): 6.02
Fermi-level density of states (states/eV/cell): 2.07

---

Record 5
First-principles (PBE) data for an optimized crystal structure of TeAsSe2, as listed in Alexandria via LeMat-Bulk.

Unit cell a=9.0184 b=9.0184 c=9.0184 alpha=24.25 beta=24.25 gamma=24.25
Closest atoms and distances in Å follow each position.
Fractional coordinates of all 4 atoms:
As: 0.5000 0.5000 0.5000  6 Se 2.71
Se: 0.8945 0.8945 0.8945  3 As 2.71, 1 Te 2.77
Te: 0.0000 0.0000 0.0000  2 Se 2.77
Se: 0.1055 0.1055 0.1055  3 As 2.71, 1 Te 2.77

VASP energy (Ry/atom): -0.26571
Energy above the most stable polymorph in this dataset (kcal/mol of atoms): 2.86
Formation energy (no corrections) (eV per atom): 0.0748
Mass density (Mg/m³): 5.50
Fermi-level density of states (states/eV/cell): 1.91

---

Record 6
First-principles (PBE) data for an optimized crystal structure of TeAsSe2, as listed in Alexandria via LeMat-Bulk.

Unit cell a=9.2377 b=9.2377 c=9.2377 alpha=23.46 beta=23.46 gamma=23.46
Closest atoms and distances in Å follow each position.
Fractional coordinates of all 4 atoms:
As: 0.0000 0.0000 0.0000  2 Se 2.52
Te: 0.5000 0.5000 0.5000  6 Se 2.93
Se: 0.0937 0.0937 0.0937  1 As 2.52
Se: 0.9063 0.9063 0.9063  1 As 2.52

VASP energy (Ry/atom): -0.24501
Energy above the most stable polymorph in this dataset (kcal/mol of atoms): 9.35
Formation energy (no corrections) (eV per atom): 0.3565
Mass density (Mg/m³): 5.46
Fermi-level density of states (states/eV/cell): 2.47

---

Record 7
First-principles (PBE) data for an optimized crystal structure of Te2AsSe, as listed in Alexandria via LeMat-Bulk.

Unit cell a=5.1372 b=5.1372 c=5.1372 alpha=60.00 beta=60.00 gamma=60.00
Closest atoms and distances in Å follow each position.
Fractional coordinates of all 4 atoms:
Se: 0.7500 0.7500 0.7500  4 Te 3.15, 4 As 3.15
Te: 0.0000 0.0000 0.0000  4 Se 3.15, 4 Te 3.15
As: 0.5000 0.5000 0.5000  4 Te 3.15, 4 Se 3.15
Te: 0.2500 0.2500 0.2500  4 Te 3.15, 4 As 3.15

VASP energy (Ry/atom): -0.23206
Energy above the most stable polymorph in this dataset (kcal/mol of atoms): 9.08
Formation energy (no corrections) (eV per atom): 0.4471
Mass density (Mg/m³): 7.09
Fermi-level density of states (states/eV/cell): 4.89

---

Record 8
First-principles (PBE) data for an optimized crystal structure of TeAsSe2, as listed in Alexandria via LeMat-Bulk.

Unit cell a=3.6931 b=3.6931 c=8.9980 alpha=90.00 beta=90.00 gamma=90.00
Closest atoms and distances in Å follow each position.
Fractional coordinates of all 4 atoms:
As: 0.5000 0.5000 0.8230  4 Se 2.73
Te: 0.0000 0.0000 0.4342  4 Se 2.77
Se: 0.5000 0.5000 0.3309  4 Te 2.77
Se: 0.0000 0.0000 0.9120  4 As 2.73

VASP energy (Ry/atom): -0.25422
Energy above the most stable polymorph in this dataset (kcal/mol of atoms): 6.46
Formation energy (no corrections) (eV per atom): 0.2313
Mass density (Mg/m³): 4.88
Fermi-level density of states (states/eV/cell): 2.12